Entry 1:
The following is a GGA-PBE calculation of a geometry-optimized NiOsRu structure, from the Alexandria database.

a b c (Å): 8.395 3.751 5.296
angles (deg): 90.00 108.13 90.00
Space group Cm (No. 8)
Inequivalent atoms, fractional coordinates:
Ni 0.000 0.000 0.000 (multiplicity 2)
Ni 0.175 0.500 0.342 (multiplicity 2)
Os 0.173 0.500 0.842 (multiplicity 2)
Os 0.337 0.000 0.669 (multiplicity 2)
Ru 0.005 0.000 0.504 (multiplicity 2)
Ru 0.333 0.000 0.169 (multiplicity 2)

size of the total moment	0.00	μB/f.u.
calculated volume	158.5	Å³/cell
calculated formation energy	0.17	eV per atom
ΔE to the lowest computed polymorph	121	meV/atom


Entry 2:
The following is a GGA-PBE calculation of a geometry-optimized NiOs2Ru structure, from the Alexandria database.

a b c (Å): 2.701 3.782 5.290
angles (deg): 90.00 90.00 90.00
Space group Pmm2 (No. 25)
Inequivalent atoms, fractional coordinates:
Ni 0.000 0.000 0.000 (multiplicity 1)
Os 0.000 0.000 0.498 (multiplicity 1)
Os 0.500 0.500 0.244 (multiplicity 1)
Ru 0.500 0.500 0.758 (multiplicity 1)

size of the total moment	0.00	μB/f.u.
calculated volume	54.0	Å³/cell
calculated formation energy	0.14	eV per atom
ΔE to the lowest computed polymorph	0	meV/atom


Entry 3:
The following is a GGA-PBE calculation of a geometry-optimized NiOs2Ru structure, from the Alexandria database.

a b c (Å): 3.739 3.739 7.743
angles (deg): 90.00 90.00 90.00
Space group I4/mmm (No. 139)
Inequivalent atoms, fractional coordinates:
Ni 0.000 0.000 0.000 (multiplicity 2)
Os 0.000 0.500 0.250 (multiplicity 4)
Ru 0.000 0.000 0.500 (multiplicity 2)

size of the total moment	0.00	μB/f.u.
calculated volume	108.2	Å³/cell
calculated formation energy	0.21	eV per atom
ΔE to the lowest computed polymorph	73	meV/atom


Please write out number 3 again, unchanged.
The following is a GGA-PBE calculation of a geometry-optimized NiOs2Ru structure, from the Alexandria database.

a b c (Å): 3.739 3.739 7.743
angles (deg): 90.00 90.00 90.00
Space group I4/mmm (No. 139)
Inequivalent atoms, fractional coordinates:
Ni 0.000 0.000 0.000 (multiplicity 2)
Os 0.000 0.500 0.250 (multiplicity 4)
Ru 0.000 0.000 0.500 (multiplicity 2)

size of the total moment	0.00	μB/f.u.
calculated volume	108.2	Å³/cell
calculated formation energy	0.21	eV per atom
ΔE to the lowest computed polymorph	73	meV/atom